No. 1
Density functional theory data (PBE-GGA) for a relaxed CdOs2Cl crystal.

- Calculated density: 12.24 g cm⁻³
- E: -5.662 eV per atom
- Excess energy over the best structure of this formula in the dataset: 402 meV/atom
- ΔE_f (raw): 0.64 eV per atom

extended XYZ file:
```
4
Lattice="-1.8264 2.1662 0.4688 -0.7429 -2.7100 0.5933 3.6556 1.0517 9.3815" Properties=species:S:1:pos:R:3 pbc="T T T"
Cl 1.6482 0.5718 8.0578
Os 0.0164 0.0047 0.0421
Os -0.4911 -0.0436 2.5676
Cd 1.7405 0.5007 4.4669
```

=====

No. 2
Density functional theory data (PBE-GGA) for a relaxed Na2InGe2 crystal.

- Calculated density: 4.18 g cm⁻³
- Formation energy from the elements: 0.07 eV per atom
- E: -2.848 eV per atom
- Excess energy over the best structure of this formula in the dataset: 181 meV/atom

extended XYZ file:
```
5
Lattice="4.3316 0.0000 0.0000 0.0000 4.3316 0.0000 2.1658 2.1658 6.4851" Properties=species:S:1:pos:R:3 pbc="T T T"
Na 4.3316 2.1658 3.2426
Na 2.1658 4.3316 3.2426
Ge 2.1658 2.1658 1.1833
Ge 4.3316 4.3316 5.3019
In 0.0000 0.0000 0.0000
```

=====

No. 3
Density functional theory data (PBE-GGA) for a relaxed NpUNiS4 crystal.

- Calculated density: 8.31 g cm⁻³
- E: -7.806 eV per atom
- ΔE_f (raw): -1.16 eV per atom

extended XYZ file:
```
14
Lattice="-5.0199 -3.2151 2.0121 2.7846 -5.0862 -1.1800 4.4645 1.0834 5.8652" Properties=species:S:1:pos:R:3 pbc="T T T"
Np 0.2178 -5.7972 3.2459
Np 2.0114 -1.4207 3.4514
U 2.4943 -5.2151 6.1088
U -0.2652 -2.0028 0.5885
Ni 2.2567 -4.2505 1.3906
Ni -0.0276 -2.9674 5.3067
S 4.7311 -1.8336 3.8908
S -3.8304 -2.9577 3.3694
S -2.5020 -5.3842 2.8064
S 6.0596 -4.2602 3.3278
S 0.3845 -5.0971 0.6220
S 1.8446 -2.1207 6.0752
S 2.6268 -4.5466 3.5403
S -0.3976 -2.6712 3.1569
```

=====

No. 4
Density functional theory data (PBE-GGA) for a relaxed CsS crystal.

- Calculated density: 3.53 g cm⁻³
- E: -3.362 eV per atom
- ΔE_f (raw): -0.87 eV per atom

extended XYZ file:
```
32
Lattice="-2.8818 13.8271 1.9116 -1.1348 -1.2662 7.4483 11.0411 2.0211 2.0257" Properties=species:S:1:pos:R:3 pbc="T T T"
Cs 2.3682 0.4335 0.4345
Cs 8.6729 1.5876 1.5912
Cs -1.1794 2.5789 6.1361
Cs 3.5570 3.4459 7.0050
Cs 7.3214 0.8109 5.1715
Cs 2.5850 -0.0561 4.3025
Cs 4.9085 4.2225 3.4248
Cs 9.6449 5.0895 4.2938
Cs 6.4479 8.3576 2.4032
Cs 1.7115 7.4906 1.5342
Cs 2.9002 10.5029 8.1047
Cs 7.6366 11.3699 8.9737
Cs 0.3599 6.7139 5.1145
Cs 6.6646 7.8680 6.2712
Cs -2.0529 10.1255 3.3677
Cs 2.6835 10.9925 4.2367
S -0.4091 -0.4566 2.6856
S -0.7256 -0.8097 4.7627
S 1.5979 3.4689 3.8850
S 1.9144 3.8220 1.8078
S 4.5440 -0.0791 7.4226
S 5.3623 0.8340 2.0514
S 6.5511 3.8463 8.6220
S 6.8675 4.1995 6.5448
S 3.6705 7.4675 4.6542
S 3.3541 7.1144 6.7314
S 5.6776 11.3930 5.8537
S 5.9940 11.7461 3.7765
S -2.4174 5.8239 7.3655
S -1.5991 6.7370 1.9944
S -0.4103 9.7493 8.5650
S -0.0939 10.1025 6.4878
```